# LiPPb

A relaxed structure of LiPPb (PBE, the Alexandria database).

Unit cell a=4.9196 b=4.9196 c=9.8102 alpha=90.00 beta=90.00 gamma=120.00
Space group P-6m2 (No. 187)
One atom of each set of equivalent atoms:
Li (0.0000, 0.0000, 0.0000) (multiplicity 1)
Li (0.0000, 0.0000, 0.3346) (multiplicity 2)
P (0.3333, 0.6667, 0.1908) (multiplicity 2)
P (0.6667, 0.3333, 0.5000) (multiplicity 1)
Pb (0.3333, 0.6667, 0.5000) (multiplicity 1)
Pb (0.6667, 0.3333, 0.1848) (multiplicity 2)

## Properties
**Total DFT energy (no corrections)**: -33.23 eV for the cell shown
**N(E_F)**: 0.93 states/eV/f.u.
**DFT formation energy**: -15 meV per atom